Entry 1:
10
Lattice="10.6699 -2.4624 0.0000 10.6699 2.4624 0.0000 -2.2992 0.0000 9.2898" Properties=species:S:1:pos:R:3 comment="Ba5CeSb4 PBE optimized geometry" density_g_cm3=4.47 formation_energy_uncorrected_ev_per_atom=-0.849 total_energy_ev_per_atom=-4.053 pbc="T T T"
Ba 0.0000 0.0000 0.0000
Ba 5.5744 0.0000 6.0133
Ba 6.8756 0.0000 1.5627
Ba 12.1651 0.0000 7.7270
Ba 13.4662 0.0000 3.2765
Ce -1.1496 0.0000 4.6449
Sb 2.0427 0.0000 5.5165
Sb 8.9305 0.0000 6.7833
Sb 10.1101 0.0000 2.5065
Sb 16.9980 0.0000 3.7733

***

Entry 2:
4
Lattice="5.2572 -1.5701 0.0000 5.2572 1.5701 0.0000 -2.1139 0.0000 4.2147" Properties=species:S:1:pos:R:3 comment="YRu2Se PBE optimized geometry" density_g_cm3=8.83 formation_energy_uncorrected_ev_per_atom=-0.121 total_energy_ev_per_atom=-7.246 pbc="T T T"
Y 0.0000 0.0000 0.0000
Ru 0.8122 0.0000 3.0387
Ru 7.5884 0.0000 1.1760
Se 4.2003 0.0000 2.1073

***

Entry 3:
28
Lattice="13.4815 0.0000 0.0000 0.0000 4.4386 0.0000 0.0000 0.0000 16.1783" Properties=species:S:1:pos:R:3 comment="HgTe3Pb3 PBE optimized geometry" density_g_cm3=8.27 formation_energy_uncorrected_ev_per_atom=-0.252 total_energy_ev_per_atom=-3.231 pbc="T T T"
Hg 0.3778 1.1096 3.5644
Hg 6.3629 3.3289 11.6536
Hg 7.1185 1.1096 4.5247
Hg 13.1037 3.3289 12.6139
Te 0.7204 1.1096 9.8988
Te 2.1087 3.3289 0.2620
Te 3.0532 3.3289 4.7143
Te 3.6875 1.1096 12.8034
Te 4.6321 1.1096 8.3512
Te 6.0203 3.3289 1.8097
Te 7.4611 1.1096 14.3686
Te 8.8494 3.3289 7.8271
Te 9.7939 3.3289 3.3749
Te 10.4283 1.1096 11.4640
Te 11.3728 1.1096 15.9163
Te 12.7611 3.3289 6.2795
Pb 1.0685 1.1096 14.5352
Pb 1.6246 1.1096 6.8522
Pb 3.0635 3.3289 10.5380
Pb 3.6772 1.1096 2.4488
Pb 5.1162 3.3289 14.9413
Pb 5.6722 3.3289 6.4461
Pb 7.8092 1.1096 9.7322
Pb 8.3653 1.1096 1.2370
Pb 9.8043 3.3289 13.7295
Pb 10.4180 1.1096 5.6403
Pb 11.8569 3.3289 9.3261
Pb 12.4130 3.3289 1.6431

***

Entry 4:
4
Lattice="3.5032 0.0000 0.0000 0.0000 3.5032 0.0000 0.0000 0.0000 8.7513" Properties=species:S:1:pos:R:3 comment="TbLu2Ag PBE optimized geometry" de_polymorph_mev_per_atom=0.0 density_g_cm3=9.54 delta_e_f_ev_per_atom=-0.14 total_energy_ev_per_atom=-4.270 pbc="T T T"
Tb 0.0000 0.0000 0.0000
Lu 1.7516 1.7516 2.5151
Lu 1.7516 1.7516 6.2362
Ag 0.0000 0.0000 4.3756

***

Entry 5:
10
Lattice="2.1801 -12.1862 0.0000 2.1801 12.1862 0.0000 0.0000 0.0000 4.3661" Properties=species:S:1:pos:R:3 comment="PuAg2Sb2 PBE optimized geometry" density_g_cm3=10.07 formation_energy_uncorrected_ev_per_atom=-0.320 total_energy_ev_per_atom=-5.975 pbc="T T T"
Pu 2.1801 8.5196 3.2746
Pu 2.1801 -8.5196 1.0915
Ag 2.1801 11.2034 1.0915
Ag 2.1801 0.9761 1.0915
Ag 2.1801 -0.9761 3.2746
Ag 2.1801 -11.2034 3.2746
Sb 2.1801 6.0951 1.0915
Sb 2.1801 2.9186 3.2746
Sb 2.1801 -2.9186 1.0915
Sb 2.1801 -6.0951 3.2746

***

Entry 6:
5
Lattice="4.9312 0.0000 0.0000 0.0000 4.9312 0.0000 0.0000 0.0000 4.9312" Properties=species:S:1:pos:R:3 comment="SbTeW3 PBE optimized geometry" de_polymorph_mev_per_atom=0.0 density_g_cm3=11.09 formation_energy_uncorrected_ev_per_atom=2.399 total_energy_ev_per_atom=-6.826 pbc="T T T"
Sb 0.0000 0.0000 0.0000
Te 2.4656 2.4656 2.4656
W 0.0000 2.4656 2.4656
W 2.4656 0.0000 2.4656
W 2.4656 2.4656 0.0000

***

Entry 7:
7
Lattice="5.7232 -2.5622 0.0000 5.7232 2.5622 0.0000 -1.1449 0.0000 8.0493" Properties=species:S:1:pos:R:3 comment="PmPr2Sm2Ho2 PBE optimized geometry" density_g_cm3=7.44 delta_e_f_ev_per_atom=0.02 total_energy_ev_per_atom=-4.685 pbc="T T T"
Pm 0.0000 0.0000 0.0000
Pr 1.1387 0.0000 3.4419
Pr 9.1629 0.0000 4.6074
Sm 2.2825 0.0000 6.9147
Sm 8.0191 0.0000 1.1346
Ho 4.5784 0.0000 2.2956
Ho 5.7232 0.0000 5.7537

***

Entry 8:
8
Lattice="2.7612 1.5942 9.0670 -2.7612 1.5942 9.0670 0.0000 -3.1884 9.0670" Properties=species:S:1:pos:R:3 comment="Li3Ca4Tl PBE optimized geometry" de_polymorph_mev_per_atom=0.0 density_g_cm3=2.67 delta_e_f_ev_per_atom=-0.13 total_energy_ev_per_atom=-2.148 pbc="T T T"
Li 0.0000 0.0000 0.0000
Li 0.0000 0.0000 6.7910
Li 0.0000 0.0000 20.4101
Ca 0.0000 0.0000 3.4635
Ca 0.0000 0.0000 10.2656
Ca 0.0000 0.0000 16.9355
Ca 0.0000 0.0000 23.7376
Tl 0.0000 0.0000 13.6006

***

Entry 9:
4
Lattice="2.1952 1.2674 6.0770 -2.1952 1.2674 6.0770 0.0000 -2.5348 6.0770" Properties=species:S:1:pos:R:3 comment="LaHS2 PBE optimized geometry" de_polymorph_mev_per_atom=72.8 density_g_cm3=3.34 total_energy_ev_per_atom=-5.461 pbc="T T T"
La 0.0000 0.0000 0.0000
H 0.0000 0.0000 9.1155
S 0.0000 0.0000 7.4845
S 0.0000 0.0000 10.7465

***

Entry 10:
12
Lattice="4.8158 0.0000 0.0000 0.0000 4.8158 0.0000 0.0000 0.0000 14.7654" Properties=species:S:1:pos:R:3 comment="DyTm9Tl2 PBE optimized geometry" density_g_cm3=10.14 delta_e_f_ev_per_atom=-0.10 total_energy_ev_per_atom=-4.231 pbc="T T T"
Dy 0.0000 0.0000 0.0000
Tm 0.0000 2.4079 2.5261
Tm 0.0000 2.4079 7.3827
Tm 0.0000 2.4079 12.2394
Tm 2.4079 0.0000 2.5261
Tm 2.4079 0.0000 7.3827
Tm 2.4079 0.0000 12.2394
Tm 2.4079 2.4079 0.0000
Tm 2.4079 2.4079 4.9824
Tm 2.4079 2.4079 9.7830
Tl 0.0000 0.0000 5.0036
Tl 0.0000 0.0000 9.7618

***

Entry 11:
12
Lattice="4.0865 -7.0765 0.0000 4.0865 7.0765 0.0000 -2.7458 0.0000 8.1677" Properties=species:S:1:pos:R:3 comment="K3Sr2PaTe6 PBE optimized geometry" density_g_cm3=4.53 formation_energy_uncorrected_ev_per_atom=-1.301 total_energy_ev_per_atom=-4.218 pbc="T T T"
K 0.0000 0.0000 0.0000
K 4.0865 2.4466 0.0000
K 4.0865 -2.4466 0.0000
Sr 2.7136 4.7255 4.0839
Sr 2.7136 -4.7255 4.0839
Pa 2.7136 0.0000 4.0839
Te 1.4685 2.1649 2.3341
Te 0.2288 0.0000 5.8345
Te 1.4685 -2.1649 2.3341
Te 3.9588 2.1649 5.8336
Te 5.1984 0.0000 2.3332
Te 3.9588 -2.1649 5.8336

***

Entry 12:
5
Lattice="5.5984 0.0000 0.0000 0.0000 5.5984 0.0000 0.0000 0.0000 3.7990" Properties=species:S:1:pos:R:3 comment="TiMoI2N PBE optimized geometry" de_polymorph_mev_per_atom=70.6 density_g_cm3=5.74 formation_energy_uncorrected_ev_per_atom=0.628 total_energy_ev_per_atom=-5.403 pbc="T T T"
Ti 0.0000 0.0000 0.0000
Mo 2.7992 2.7992 1.8995
I 0.0000 2.7992 1.8995
I 2.7992 0.0000 1.8995
N 2.7992 2.7992 0.0000

***

Entry 13:
16
Lattice="9.1172 0.0000 0.0000 0.0000 10.1249 0.0000 -2.6516 0.0000 7.7057" Properties=species:S:1:pos:R:3 comment="Ba4NiI3 PBE optimized geometry" density_g_cm3=4.62 formation_energy_uncorrected_ev_per_atom=-0.978 total_energy_ev_per_atom=-3.243 pbc="T T T"
Ba 0.4883 1.0651 3.8322
Ba -0.8375 9.0597 7.6851
Ba -0.5450 3.3396 7.4604
Ba 0.7809 6.7853 3.6075
Ba 5.6847 3.3396 4.0982
Ba 7.0105 6.7853 0.2453
Ba 7.3030 1.0651 0.0207
Ba 5.9772 9.0597 3.8735
Ni -1.9887 1.2366 5.7793
Ni -0.6629 8.8883 1.9264
I -0.6629 4.0175 1.9264
I -1.9887 6.1073 5.7793
I 3.8957 1.2086 1.9264
I 2.5699 3.9174 5.7793
I 3.8957 6.2075 1.9264
I 2.5699 8.9163 5.7793

***

Entry 14:
4
Lattice="0.0000 4.1119 4.1119 4.1119 0.0000 4.1119 4.1119 4.1119 0.0000" Properties=species:S:1:pos:R:3 comment="Pr2NdHo PBE optimized geometry" de_polymorph_mev_per_atom=110.2 density_g_cm3=7.06 delta_e_f_ev_per_atom=0.12 total_energy_ev_per_atom=-4.601 pbc="T T T"
Pr 2.0560 2.0560 2.0560
Pr 6.1679 6.1679 6.1679
Nd 0.0000 0.0000 0.0000
Ho 4.1119 4.1119 4.1119

***

Entry 15:
10
Lattice="4.4637 0.0000 0.0000 0.0000 3.2596 0.0000 -1.2126 0.0000 6.2900" Properties=species:S:1:pos:R:3 comment="PuTiH3 PBE optimized geometry" de_polymorph_mev_per_atom=0.0 density_g_cm3=10.70 total_energy_ev_per_atom=-6.717 pbc="T T T"
Pu 0.6003 0.8149 0.5642
Pu 2.6507 2.4447 5.7257
Ti 0.5417 0.8149 3.6912
Ti 2.7093 2.4447 2.5988
H -0.4474 2.4447 4.0166
H 0.8300 2.4447 2.4541
H 1.1537 0.8149 5.4602
H 2.0973 2.4447 0.8298
H 2.4211 0.8149 3.8358
H 3.6984 0.8149 2.2734

***

Entry 16:
5
Lattice="5.0527 0.0000 0.0000 0.0000 5.0527 0.0000 0.0000 0.0000 5.0527" Properties=species:S:1:pos:R:3 comment="Hf4Ta PBE optimized geometry" density_g_cm3=11.52 delta_e_f_ev_per_atom=1.08 total_energy_ev_per_atom=-9.253 pbc="T T T"
Hf 0.0000 0.0000 0.0000
Hf 0.0000 2.5264 2.5264
Hf 2.5264 0.0000 2.5264
Hf 2.5264 2.5264 0.0000
Ta 2.5264 2.5264 2.5264

***

Entry 17:
4
Lattice="0.0000 3.5848 3.5848 3.5848 0.0000 3.5848 3.5848 3.5848 0.0000" Properties=species:S:1:pos:R:3 comment="TbScAlCd PBE optimized geometry" de_polymorph_mev_per_atom=22.8 density_g_cm3=6.19 delta_e_f_ev_per_atom=-0.35 total_energy_ev_per_atom=-4.251 pbc="T T T"
Tb 0.0000 0.0000 0.0000
Sc 3.5848 3.5848 3.5848
Al 1.7924 1.7924 1.7924
Cd 5.3771 5.3771 5.3771

***

Entry 18:
9
Lattice="7.3771 -2.1273 0.0000 7.3771 2.1273 0.0000 -2.0868 0.0000 7.8050" Properties=species:S:1:pos:R:3 comment="Na2LiTl4In2 PBE optimized geometry" density_g_cm3=7.46 delta_e_f_ev_per_atom=-0.10 total_energy_ev_per_atom=-2.265 pbc="T T T"
Na 1.3421 0.0000 1.1465
Na 11.3253 0.0000 6.6585
Li -1.0434 0.0000 3.9025
Tl 1.5135 0.0000 6.4062
Tl 6.2735 0.0000 1.7015
Tl 6.3939 0.0000 6.1035
Tl 11.1539 0.0000 1.3988
In 3.8322 0.0000 3.9636
In 8.8352 0.0000 3.8414

***

Entry 19:
3
Lattice="4.2707 0.0000 0.0000 -2.1354 3.6986 0.0000 0.0000 0.0000 2.6995" Properties=species:S:1:pos:R:3 comment="MnRuPt PBE optimized geometry" de_polymorph_mev_per_atom=118.0 density_g_cm3=13.67 delta_e_f_ev_per_atom=0.06 total_energy_ev_per_atom=-8.106 pbc="T T T"
Mn 0.0000 0.0000 0.0000
Ru 0.0000 2.4657 0.0000
Pt 2.1354 1.2329 1.3498